Compound: V3CuNi7
Source: Alexandria
Functional: PBE
Structure: relaxed

Unit cell a=5.9028 b=5.9028 c=4.4575 alpha=108.04 beta=108.04 gamma=93.59
Last column: nearest neighbours and their distance in Å.
Fractional coordinates of all 11 atoms:
V (0.0000, 0.0000, 0.0000)  6 Ni 2.35-2.37
V (0.2344, 0.7656, 0.5000)  7 Ni 2.29-2.43
V (0.7656, 0.2344, 0.5000)  7 Ni 2.29-2.43
Cu (0.5000, 0.5000, 0.0000)  4 Ni 2.23-2.40
Ni (0.0554, 0.5951, 0.8221)  3 V 2.35-2.43, 4 Ni 2.42-2.60
Ni (0.1791, 0.1791, 0.5929)  3 V 2.37-2.41, 1 Cu 2.40, 3 Ni 2.60-2.63
Ni (0.4049, 0.9446, 0.1779)  3 V 2.35-2.43, 4 Ni 2.42-2.60
Ni (0.5000, 0.5000, 0.5000)  2 Cu 2.23, 2 V 2.29
Ni (0.5951, 0.0554, 0.8221)  3 V 2.35-2.43, 4 Ni 2.42-2.60
Ni (0.8209, 0.8209, 0.4071)  3 V 2.37-2.41, 1 Cu 2.40, 3 Ni 2.60-2.63
Ni (0.9446, 0.4049, 0.1779)  3 V 2.35-2.43, 4 Ni 2.42-2.60

Its formation energy is 0.199 eV/atom.

***

Compound: ZnCuRe2
Source: Alexandria
Functional: PBE
Structure: relaxed

Unit cell a=4.6363 b=4.6363 c=4.7946 alpha=97.14 beta=97.14 gamma=33.83
Last column: nearest neighbours and their distance in Å.
Fractional coordinates of all 4 atoms:
Zn (0.0000, 0.0000, 0.0000)  3 Cu 2.52-2.67, 2 Zn 2.70, 5 Re 2.73-2.79
Cu (0.2489, 0.2489, 0.8016)  3 Zn 2.52-2.67, 2 Cu 2.70, 7 Re 2.74-2.81
Re (0.5023, 0.5023, 0.5061)  5 Re 2.53-2.70, 4 Zn 2.73-2.77, 3 Cu 2.79-2.81
Re (0.7502, 0.7502, 0.3000)  5 Re 2.53-2.70, 4 Cu 2.74-2.76, 3 Zn 2.79-2.83

Its relative energy among the computed polymorphs is 167.6 meV per atom. Its formation energy is 0.227 eV/atom.

***

Compound: ThPN2
Source: Alexandria
Functional: PBE
Structure: relaxed

Unit cell a=7.1226 b=7.1226 c=7.1226 alpha=23.85 beta=23.85 gamma=23.85
Last column: nearest neighbours and their distance in Å.
Fractional coordinates of all 4 atoms:
Th (0.0000, 0.0000, 0.0000)  2 N 2.52
P (0.5000, 0.5000, 0.5000)  6 N 1.94
N (0.1216, 0.1216, 0.1216)  3 P 1.94
N (0.8784, 0.8784, 0.8784)  3 P 1.94

Its relative energy among the computed polymorphs is 1389.4 meV per atom. The calculation puts the formation energy without anion corrections at 32.20 kJ/mol of atoms.

***

Compound: RbPt
Source: Alexandria
Functional: PBE
Structure: relaxed

Unit cell a=5.7921 b=5.7921 c=5.7921 alpha=31.62 beta=31.62 gamma=31.62
Last column: nearest neighbours and their distance in Å.
Fractional coordinates of all 2 atoms:
Rb (0.0000, 0.0000, 0.0000)  6 Rb 3.16, 6 Pt 3.30
Pt (0.5000, 0.5000, 0.5000)  6 Pt 3.16, 6 Rb 3.30

Its formation energy is 0.492 eV/atom.

***

Compound: Ho6Bi3TeAs2
Source: Alexandria
Functional: PBE
Structure: relaxed

Unit cell a=9.6582 b=9.6582 c=8.6759 alpha=103.13 beta=103.13 gamma=25.75
Last column: nearest neighbours and their distance in Å.
Fractional coordinates of all 12 atoms:
Ho (0.0098, 0.0098, 0.2572)  1 As 2.90, 3 Bi 3.05-3.14, 2 Te 3.07
Ho (0.3272, 0.3272, 0.4295)  3 As 2.91-2.96, 3 Bi 3.17
Ho (0.3287, 0.3287, 0.8964)  2 As 2.95, 3 Bi 3.07-3.16, 1 Te 3.14
Ho (0.6713, 0.6713, 0.1036)  2 As 2.95, 3 Bi 3.07-3.16, 1 Te 3.14
Ho (0.6728, 0.6728, 0.5705)  3 As 2.91-2.96, 3 Bi 3.17
Ho (0.9902, 0.9902, 0.7428)  1 As 2.90, 3 Bi 3.05-3.14, 2 Te 3.07
Bi (0.1616, 0.1616, 0.8322)  6 Ho 3.07-3.17
Bi (0.5000, 0.5000, 0.5000)  6 Ho 3.05-3.17
Bi (0.8384, 0.8384, 0.1678)  6 Ho 3.07-3.17
Te (0.5000, 0.5000, 0.0000)  6 Ho 3.07-3.14
As (0.1684, 0.1684, 0.3345)  6 Ho 2.90-2.96
As (0.8316, 0.8316, 0.6655)  6 Ho 2.90-2.96

The calculation puts the formation energy without anion corrections at -109.87 kJ/mol of atoms.

***

Compound: La3AuC
Source: Alexandria
Functional: PBE
Structure: relaxed

Unit cell a=3.7653 b=6.8875 c=11.2417 alpha=105.77 beta=90.00 gamma=105.84
Last column: nearest neighbours and their distance in Å.
Fractional coordinates of all 10 atoms:
La (0.0676, 0.1342, 0.1535)  1 C 2.50
La (0.1874, 0.3772, 0.7491)  2 C 2.62
La (0.3700, 0.7412, 0.5555)  3 C 2.64-2.65
La (0.6300, 0.2588, 0.4445)  3 C 2.64-2.65
La (0.8126, 0.6228, 0.2509)  2 C 2.62
La (0.9324, 0.8658, 0.8465)  1 C 2.50
Au (0.3507, 0.6999, 0.0304)  2 Au 3.16-3.17, 7 La 3.21-3.39
Au (0.6493, 0.3001, 0.9696)  2 Au 3.16-3.17, 7 La 3.21-3.39
C (0.2203, 0.4390, 0.3443)  6 La 2.50-2.65
C (0.7797, 0.5610, 0.6557)  6 La 2.50-2.65

Its relative energy among the computed polymorphs is 41.8 meV per atom. Its formation energy is -0.339 eV/atom.

***

Compound: PtSN4O4
Source: Alexandria
Functional: PBE
Structure: relaxed

Unit cell a=9.2481 b=9.2481 c=9.2481 alpha=138.31 beta=138.31 gamma=60.44
Last column: nearest neighbours and their distance in Å.
Fractional coordinates of all 20 atoms:
Pt (0.3750, 0.6250, 0.7500)  4 N 1.87
Pt (0.6250, 0.3750, 0.2500)  4 N 1.87
S (0.1250, 0.8750, 0.2500)  4 O 1.51
S (0.8750, 0.1250, 0.7500)  4 O 1.51
N (0.1743, 0.4243, 0.3486)  1 Pt 1.87
N (0.1743, 0.8257, 0.7500)  1 Pt 1.87
N (0.4243, 0.1743, 0.8486)  1 Pt 1.87
N (0.4243, 0.5757, 0.2500)  1 Pt 1.87
N (0.5757, 0.4243, 0.7500)  1 Pt 1.87
N (0.5757, 0.8257, 0.1514)  1 Pt 1.87
N (0.8257, 0.1743, 0.2500)  1 Pt 1.87
N (0.8257, 0.5757, 0.6514)  1 Pt 1.87
O (0.1161, 0.1799, 0.9362)  1 S 1.51
O (0.1799, 0.1161, 0.4362)  1 S 1.51
O (0.1799, 0.7438, 0.0638)  1 S 1.51
O (0.2562, 0.8201, 0.4362)  1 S 1.51
O (0.7438, 0.1799, 0.5638)  1 S 1.51
O (0.8201, 0.2562, 0.9362)  1 S 1.51
O (0.8201, 0.8839, 0.5638)  1 S 1.51
O (0.8839, 0.8201, 0.0638)  1 S 1.51

The calculation puts the formation energy without anion corrections at 133.00 kJ/mol of atoms.

***

Compound: CuNiPd3
Source: Alexandria
Functional: PBE
Structure: relaxed

Unit cell a=4.5315 b=4.5315 c=4.5315 alpha=90.00 beta=90.00 gamma=90.00
Last column: nearest neighbours and their distance in Å.
Fractional coordinates of all 5 atoms:
Cu (0.0000, 0.0000, 0.0000)  12 Pd 3.20
Ni (0.5000, 0.5000, 0.5000)  6 Pd 2.27
Pd (0.0000, 0.5000, 0.5000)  2 Ni 2.27
Pd (0.5000, 0.0000, 0.5000)  2 Ni 2.27
Pd (0.5000, 0.5000, 0.0000)  2 Ni 2.27

Its relative energy among the computed polymorphs is 821.1 meV per atom. Its formation energy is 0.899 eV/atom.

***

Compound: AuC2Cl
Source: Alexandria
Functional: PBE
Structure: relaxed

Unit cell a=4.1759 b=4.1759 c=4.1759 alpha=60.00 beta=60.00 gamma=60.00
Last column: nearest neighbours and their distance in Å.
Fractional coordinates of all 4 atoms:
Au (0.0000, 0.0000, 0.0000)  8 C 2.56
C (0.2500, 0.2500, 0.2500)  4 Cl 2.56, 4 Au 2.56
C (0.7500, 0.7500, 0.7500)  4 Cl 2.56, 4 Au 2.56
Cl (0.5000, 0.5000, 0.5000)  8 C 2.56

Its relative energy among the computed polymorphs is 696.1 meV per atom. The calculation puts the formation energy without anion corrections at 281.82 kJ/mol of atoms.

***

Compound: MgTlAg3
Source: Alexandria
Functional: PBE
Structure: relaxed

Unit cell a=5.0914 b=5.0914 c=5.0914 alpha=90.00 beta=90.00 gamma=90.00
Last column: nearest neighbours and their distance in Å.
Fractional coordinates of all 5 atoms:
Mg (0.0000, 0.0000, 0.0000)  6 Ag 2.55
Tl (0.5000, 0.5000, 0.5000)  12 Ag 3.60
Ag (0.0000, 0.0000, 0.5000)  2 Mg 2.55
Ag (0.0000, 0.5000, 0.0000)  2 Mg 2.55
Ag (0.5000, 0.0000, 0.0000)  2 Mg 2.55

Its relative energy among the computed polymorphs is 0.0 meV per atom. Its formation energy is 0.431 eV/atom.

***

Magnetic moment
In order: 0.00; 0.00; 0.00; 0.00; 0.00; 0.00; 3.73; 0.56; 0.00; 0.00
Unit: μB per cell